This record from Alexandria describes an optimized crystal structure of InPt2Br. The functional is GGA-PBE.

## Properties
- formation energy without anion corrections (eV per formula unit) = 0.4
- Fermi-level density of states (states/eV/f.u.) = 1.32
- energy relative to the lowest polymorph listed for this composition (meV/atom) = 245.4

Cell lengths 5.5839, 5.5839, 5.5839 Å; angles 147.77, 122.73, 67.26 degrees
Sites, in units of the cell vectors:
In (0.0000, 0.0000, 0.0000)
Pt (0.2409, 0.7409, 0.5000)
Pt (0.7591, 0.2591, 0.5000)
Br (0.5000, 0.5000, 0.0000)

---

This record from Alexandria describes an optimized crystal structure of MgMnNi2C. The functional is GGA-PBE.

## Properties
- formation energy from the elements (eV per atom) = -0.08
- Fermi-level density of states (states/eV/f.u.) = 2.79

Cell lengths 3.8634, 3.8634, 3.7919 Å; angles 90.00, 90.00, 90.00 degrees
Sites, in units of the cell vectors:
Mg (0.0000, 0.0000, 0.0000)
Mn (0.5000, 0.5000, 0.0000)
Ni (0.0000, 0.5000, 0.5000)
Ni (0.5000, 0.0000, 0.5000)
C (0.5000, 0.5000, 0.5000)

---

This record from Alexandria describes an optimized crystal structure of Nd5Sn2C. The functional is GGA-PBE.

## Properties
- formation energy from the elements (eV per atom) = -0.30
- Fermi-level density of states (states/eV/f.u.) = 7.66

Cell lengths 6.1689, 6.1689, 15.7957 Å; angles 90.00, 90.00, 126.97 degrees
Sites, in units of the cell vectors:
Nd (0.1001, 0.8999, 0.6337)
Nd (0.1001, 0.8999, 0.8663)
Nd (0.2504, 0.7496, 0.2500)
Nd (0.3992, 0.6008, 0.6338)
Nd (0.3992, 0.6008, 0.8662)
Nd (0.6008, 0.3992, 0.1338)
Nd (0.6008, 0.3992, 0.3662)
Nd (0.7496, 0.2504, 0.7500)
Nd (0.8999, 0.1001, 0.1337)
Nd (0.8999, 0.1001, 0.3663)
Sn (0.2497, 0.7503, 0.0527)
Sn (0.2497, 0.7503, 0.4473)
Sn (0.7503, 0.2497, 0.5527)
Sn (0.7503, 0.2497, 0.9473)
C (0.2497, 0.7503, 0.7500)
C (0.7503, 0.2497, 0.2500)